1.
{"formula": "Rb3BaBr6", "functional": "GGA-PBE", "state": "optimized geometry", "cell": [[9.068, 0.000, 0.000], [0.000, 9.068, 0.000], [4.534, 4.534, 6.412]], "species": ["Ba", "Br", "Br", "Br", "Br", "Br", "Br", "Rb", "Rb", "Rb"], "fractional_positions": [[0.000, 0.000, 0.000], [0.246, 0.754, 0.000], [0.246, 0.246, 0.508], [0.246, 0.246, 0.000], [0.754, 0.754, 0.000], [0.754, 0.754, 0.492], [0.754, 0.246, 0.000], [0.250, 0.750, 0.500], [0.750, 0.250, 0.500], [0.500, 0.500, 0.000]], "volume_a3_per_atom": 52.7, "raw_formation_energy_ev_per_atom": -1.488}

2.
{"formula": "TeIr2", "functional": "GGA-PBE", "state": "optimized geometry", "cell": [[-3.609, -1.388, -1.893], [-0.241, -4.038, -1.477], [-2.508, -2.876, 1.994]], "species": ["Ir", "Ir", "Te"], "fractional_positions": [[0.250, 0.250, 0.250], [0.750, 0.750, 0.750], [0.000, 0.000, 0.000]], "volume_a3_per_atom": 18.8, "polymorph_energy_ev_per_atom": 0.404, "raw_formation_energy_ev_per_atom": 0.411}

3.
{"formula": "Ti2AlSe", "functional": "GGA-PBE", "state": "optimized geometry", "cell": [[5.702, 0.000, 0.000], [0.000, 5.702, 0.000], [2.851, 2.851, 6.203]], "species": ["Ti", "Ti", "Ti", "Ti", "Se", "Se", "Al", "Al"], "fractional_positions": [[0.639, 0.125, 0.250], [0.375, 0.361, 0.750], [0.111, 0.625, 0.250], [0.875, 0.889, 0.750], [0.750, 0.250, 0.500], [0.000, 0.000, 0.000], [0.500, 0.500, 0.000], [0.250, 0.750, 0.500]], "volume_a3_per_atom": 25.2, "polymorph_energy_ev_per_atom": 0.844, "raw_formation_energy_ev_per_atom": 0.325}